Crystalline Er4TlH at its relaxed geometry. Source: Alexandria, functional PBE-GGA.

The structure in CIF format:
```
data_Er4TlH
_chemical_formula_sum 'Er16 Tl4 H4'
_cell_length_a 16.564
_cell_length_b 6.599
_cell_length_c 5.600
_cell_angle_alpha 90.00
_cell_angle_beta 109.50
_cell_angle_gamma 90.00
_space_group_name_H-M_alt 'C 1 2/m 1'
_space_group_IT_number 12
loop_
_space_group_symop_operation_xyz
'x,y,z'
'-x,-y,-z'
'-x,y,-z'
'x,-y,z'
'x+1/2,y+1/2,z'
'-x+1/2,-y+1/2,-z'
'-x+1/2,y+1/2,-z'
'x+1/2,-y+1/2,z'
loop_
_atom_site_label
_atom_site_type_symbol
_atom_site_fract_x
_atom_site_fract_y
_atom_site_fract_z
_atom_site_occupancy
Er1 Er 0.000 0.244 0.000 1
Er2 Er 0.112 0.251 0.616 1
Er3 Er 0.200 0.000 0.222 1
Tl1 Tl 0.187 0.500 0.181 1
H1 H 0.087 0.000 0.878 1
```

Computed properties:
E_tot	-4.16	eV per atom
M_tot	0.00	μB per cell

Crystalline CaTb3Y4Se8 at its relaxed geometry. Source: Alexandria, functional PBE-GGA.

The structure in CIF format:
```
data_CaTb3Y4Se8
_chemical_formula_sum 'Ca3 Tb9 Y12 Se24'
_cell_length_a 8.2045
_cell_length_b 8.2045
_cell_length_c 20.0944
_cell_angle_alpha 90.00
_cell_angle_beta 90.00
_cell_angle_gamma 120.00
_space_group_name_H-M_alt 'R -3 m'
_space_group_IT_number 166
_space_group_name_Hall '-R 3 2"'
loop_
_atom_site_label
_atom_site_type_symbol
_atom_site_fract_x
_atom_site_fract_y
_atom_site_fract_z
_atom_site_occupancy
Ca1 Ca 0.0000 0.0000 0.0000 1
Tb1 Tb 0.0000 0.5000 0.0000 1
Y1 Y 0.0000 0.0000 0.5000 1
Y2 Y 0.0000 0.5000 0.5000 1
Se1 Se 0.0000 0.0000 0.2497 1
Se2 Se 0.9998 0.4999 0.2498 1
```

Computed properties:
formation energy without anion corrections	-1.7916	eV per atom
M_tot	0.00	μB per cell

Crystalline Y4Ho2Th at its relaxed geometry. Source: Alexandria, functional PBE-GGA.

The structure in CIF format:
```
data_Y4Ho2Th
_chemical_formula_sum 'Y12 Ho6 Th3'
_cell_length_a 3.5559
_cell_length_b 3.5559
_cell_length_c 62.5684
_cell_angle_alpha 90.00
_cell_angle_beta 90.00
_cell_angle_gamma 120.00
_space_group_name_H-M_alt 'R -3 m'
_space_group_IT_number 166
_space_group_name_Hall '-R 3 2"'
loop_
_atom_site_label
_atom_site_type_symbol
_atom_site_fract_x
_atom_site_fract_y
_atom_site_fract_z
_atom_site_occupancy
Y1 Y 0.0000 0.0000 0.1432 1
Y2 Y 0.0000 0.0000 0.2888 1
Ho1 Ho 0.0000 0.0000 0.2350 1
Th1 Th 0.0000 0.0000 0.0000 1
```

Computed properties:
M_tot	3.68	μB per cell
energy above the most stable polymorph in this dataset	0.066	eV per atom
formation enthalpy at 0 K	88	meV/atom